(1)
First-principles (PBE) data for a geometry-optimized CuPd2C structure, as listed in Alexandria.

Geometry as POSCAR:
```
CuPd2C
1.0
7.239 0.000 0.000
0.000 7.239 0.000
3.620 3.620 2.088
C Pd Cu
2 4 2
direct
0.250 0.750 0.500
0.500 0.500 0.000
0.490 0.125 0.250
0.260 0.625 0.250
0.375 0.510 0.750
0.875 0.740 0.750
0.000 0.000 0.000
0.750 0.250 0.500
```

## Properties
- Mass density: 8.8 Mg/m³
- Total magnetization: 0.00 μB per cell
- Final energy: -5.44 eV per atom
- SG: No. 122
- Energy of formation from the pure elements: 0.486 eV/atom

(2)
First-principles (PBE) data for a geometry-optimized K3Pm2ErS6 structure, as listed in Alexandria.

Geometry as POSCAR:
```
K3Pm2ErS6
1.0
7.130 -0.001 0.000
-3.564 6.176 0.000
-1.190 -2.060 7.385
S Pm Er K
6 2 1 3
direct
0.068 0.393 0.204
0.393 0.068 0.204
0.607 0.932 0.796
0.932 0.607 0.796
0.257 0.257 0.796
0.743 0.743 0.204
0.333 0.667 0.000
0.667 0.333 0.000
0.000 0.000 0.000
0.500 0.500 0.500
0.168 0.832 0.500
0.832 0.168 0.500
```

## Properties
- Mass density: 3.9 Mg/m³
- Raw formation energy: -1869 meV/atom
- Total magnetization: 0.00 μB per cell
- Final energy: -5.38 eV per atom
- SG: No. 12

(3)
First-principles (PBE) data for a geometry-optimized K4Pu3ZnTe8 structure, as listed in Alexandria.

Geometry as POSCAR:
```
K4Pu3ZnTe8
1.0
9.051 0.000 0.000
0.000 9.655 0.416
-4.526 -4.514 6.402
Te K Pu Zn
8 4 3 1
direct
0.743 0.699 0.972
0.257 0.301 0.028
0.227 0.699 0.455
0.772 0.301 0.028
0.228 0.699 0.972
0.736 0.709 0.473
0.264 0.291 0.527
0.773 0.301 0.545
0.000 0.000 0.500
0.500 0.000 0.000
0.000 0.000 0.000
0.500 0.000 0.500
0.500 0.500 0.000
0.000 0.500 0.500
0.500 0.500 0.500
0.000 0.500 0.000
```

## Properties
- Mass density: 5.7 Mg/m³
- Raw formation energy: -936 meV/atom
- Total magnetization: 14.00 μB per cell
- Final energy: -5.55 eV per atom
- SG: No. 12

(4)
First-principles (PBE) data for a geometry-optimized ScNbCuIr structure, as listed in Alexandria.

Geometry as POSCAR:
```
ScNbCuIr
1.0
-3.481 -1.790 2.292
-0.100 -4.452 0.860
0.608 -1.506 4.235
Ir Sc Nb Cu
1 1 1 1
direct
0.250 0.250 0.250
0.500 0.500 0.500
0.000 0.000 0.000
0.750 0.750 0.750
```

## Properties
- Mass density: 9.9 Mg/m³
- Total magnetization: 0.00 μB per cell
- Final energy: -7.73 eV per atom
- SG: No. 216
- Energy of formation from the pure elements: -0.392 eV/atom